[1]
Below is a relaxed RbNaSe2 crystal, with properties calculated at the PBE-GGA level.

a = 4.9787 Å, b = 5.5891 Å, c = 5.5891 Å
α = 68.47°, β = 90.00°, γ = 90.00°
Closest atoms and distances in Å follow each position.
Fractional positions:
Rb  0.0000  0.0000  0.0000  8 Se 3.69-3.83, 4 Na 4.03
Na  0.5000  0.5395  0.5395  4 Se 2.82-2.83
Se  0.5000  0.0703  0.4581  1 Se 2.44
Se  0.5000  0.4581  0.0703  1 Se 2.44

- crystal system = orthorhombic
- distance to the lowest polymorph of the same formula (meV per atom) = 5

---

[2]
Below is a relaxed Rb2NaSiSe4 crystal, with properties calculated at the PBE-GGA level.

a = 6.9845 Å, b = 6.9845 Å, c = 6.9845 Å
α = 106.87°, β = 106.87°, γ = 114.80°
Closest atoms and distances in Å follow each position.
Fractional positions:
Rb  0.0000  0.5000  0.5000  4 Se 3.46, 2 Rb 3.76
Rb  0.5000  0.0000  0.5000  4 Se 3.46, 2 Rb 3.76
Na  0.0000  0.0000  0.0000  4 Se 2.96
Si  0.5000  0.5000  0.0000  4 Se 2.30
Se  0.1573  0.1573  0.6921  1 Si 2.30
Se  0.4653  0.4653  0.3079  1 Si 2.30
Se  0.5347  0.8427  0.0000  1 Si 2.30
Se  0.8427  0.5347  0.0000  1 Si 2.30

- crystal system = tetragonal

---

[3]
Below is a relaxed RbNa2SnSe4 crystal, with properties calculated at the PBE-GGA level.

a = 9.5019 Å, b = 9.5019 Å, c = 9.5019 Å
α = 130.57°, β = 126.87°, γ = 75.50°
Closest atoms and distances in Å follow each position.
Fractional positions:
Rb  0.0000  0.0000  0.0000  6 Se 3.40-3.48
Rb  0.5000  0.0000  0.5000  6 Se 3.40-3.48
Na  0.0000  0.5000  0.5000  4 Se 2.84
Na  0.5000  0.0000  0.0000  4 Se 3.04
Na  0.5000  0.5000  0.0000  4 Se 2.84
Na  0.5000  0.5000  0.5000  4 Se 3.04
Sn  0.0000  0.0000  0.5000  6 Se 2.71-2.80
Sn  0.0000  0.5000  0.0000  6 Se 2.71-2.80
Se  0.1778  0.2328  0.5549  1 Sn 2.71, 2 Na 2.84
Se  0.1778  0.6229  0.9451  1 Sn 2.71, 2 Na 2.84
Se  0.2122  0.2316  0.9806  2 Sn 2.80, 2 Na 3.04
Se  0.2490  0.7684  0.4806  2 Sn 2.80, 2 Na 3.04
Se  0.7510  0.2316  0.5194  2 Sn 2.80, 2 Na 3.04
Se  0.7878  0.7684  0.0194  2 Sn 2.80, 2 Na 3.04
Se  0.8222  0.3771  0.0549  1 Sn 2.71, 2 Na 2.84
Se  0.8222  0.7672  0.4451  1 Sn 2.71, 2 Na 2.84

- crystal system = orthorhombic

---

[4]
Below is a relaxed RbNaSnSe2 crystal, with properties calculated at the PBE-GGA level.

a = 6.1307 Å, b = 6.1307 Å, c = 5.9782 Å
α = 90.00°, β = 90.00°, γ = 90.00°
Closest atoms and distances in Å follow each position.
Fractional positions:
Rb  0.0000  0.0000  0.0000  2 Sn 2.99, 4 Se 3.07
Na  0.5000  0.5000  0.5000  8 Se 4.28, 4 Sn 4.34
Sn  0.0000  0.0000  0.5000  2 Rb 2.99
Se  0.0000  0.5000  0.0000  2 Rb 3.07
Se  0.5000  0.0000  0.0000  2 Rb 3.07

- crystal system = tetragonal
- distance to the lowest polymorph of the same formula (meV per atom) = 1343

---

| no. | formation energy without anion corrections (meV/atom) |
| --- | --- |
| 1 | -787 |
| 2 | -840 |
| 3 | -642 |
| 4 | 549 |